(1)
This record from Alexandria via LeMat-Bulk describes an optimized crystal structure of BaPm2Cd3. The functional is PBE.

a = 3.9195 Å, b = 3.9195 Å, c = 12.1432 Å
α = 90.00°, β = 90.00°, γ = 90.00°
Last column: nearest neighbours and their distance in Å.
Space group P4/mmm (No. 123)
Asymmetric unit:
Ba 0.0000 0.0000 0.0000 x1  8 Cd 3.68, 4 Ba 3.92
Pm 0.0000 0.0000 0.3465 x2  8 Cd 3.30-3.34
Cd 0.5000 0.5000 0.1996 x2  4 Pm 3.30, 1 Cd 3.65, 4 Ba 3.68
Cd 0.5000 0.5000 0.5000 x1  8 Pm 3.34, 2 Cd 3.65

Summary:
Formation enthalpy at 0 K = -29.48 kJ per mole of atoms

(2)
This record from Alexandria via LeMat-Bulk describes an optimized crystal structure of CaB2H7. The functional is PBE.

a = 7.2226 Å, b = 8.4249 Å, c = 3.1655 Å
α = 90.00°, β = 90.00°, γ = 90.00°
Last column: nearest neighbours and their distance in Å.
Space group Cmmm (No. 65)
Asymmetric unit:
Ca 0.0000 0.0000 0.0000 x2  10 H 2.29-2.34
B 0.2069 0.5000 0.5000 x4  2 H 1.26
H 0.0000 0.5000 0.5000 x2  2 B 1.49
H 0.1833 0.5000 0.0000 x4  2 B 1.59
H 0.1909 0.1215 0.5000 x8  1 B 1.26

Summary:
Total DFT energy (no corrections) = -75.8 eV per cell

(3)
This record from Alexandria via LeMat-Bulk describes an optimized crystal structure of LiCuBiSe3. The functional is PBE.

a = 8.4514 Å, b = 3.9750 Å, c = 9.0538 Å
α = 90.00°, β = 108.68°, γ = 90.00°
Last column: nearest neighbours and their distance in Å.
Space group P2_1/m (No. 11)
Asymmetric unit:
Li 0.1980 0.2500 0.1535 x2  6 Se 2.70-2.94
Cu 0.4131 0.7500 0.4171 x2  4 Se 2.41-2.52, 2 Cu 2.64
Bi 0.2825 0.7500 0.8174 x2  5 Se 2.80-3.11
Se 0.0557 0.2500 0.8402 x2  3 Li 2.70-2.94, 2 Bi 2.81
Se 0.2832 0.2500 0.4743 x2  3 Cu 2.41-2.44
Se 0.4234 0.7500 0.1420 x2  1 Cu 2.52, 2 Li 2.78, 1 Bi 2.80

Summary:
Formation energy without anion corrections = -2.7 eV per formula unit

(4)
This record from Alexandria via LeMat-Bulk describes an optimized crystal structure of BeTlAgAs. The functional is PBE.

a = 3.7921 Å, b = 3.7921 Å, c = 12.1756 Å
α = 90.00°, β = 90.00°, γ = 90.00°
Last column: nearest neighbours and their distance in Å.
Space group P4/nmm (No. 129, origin choice 2)
Asymmetric unit:
Be 0.2500 0.7500 0.0000 x2  4 As 2.33
Tl 0.2500 0.2500 0.2749 x2  4 Ag 3.33, 4 As 3.34
Ag 0.2500 0.7500 0.5000 x2  4 Ag 2.68
As 0.2500 0.2500 0.8885 x2  4 Be 2.33

Summary:
Formation enthalpy at 0 K = 5.42 kJ per mole of atoms

Number 1: density of states at the Fermi level 5.5 states/eV per cell. Number 2: density of states at the Fermi level 1.9 states/eV per cell. Number 3: density of states at the Fermi level 6.6 states/eV per cell. Number 4: density of states at the Fermi level 2.1 states/eV per cell.